1.
This record from Alexandria describes a geometry-optimized CdSnHg structure. The functional is PBE.

a b c (Å): 3.470 3.470 7.357
angles (deg): 90.00 90.00 120.00
Positions (direct):
Sn: 0.000 0.000 0.002
Cd: 0.667 0.333 0.342
Hg: 0.333 0.667 0.656

* formation energy: 0.052 eV per atom
* VASP energy: -1.688 eV per atom
* crystal system: trigonal
* symmetry: P3m1
* DOS at the Fermi energy: 0.47 states/eV per atom

=====

2.
This record from Alexandria describes a geometry-optimized Cd2SnHg structure. The functional is PBE.

a b c (Å): 3.556 3.556 7.858
angles (deg): 90.00 90.00 90.00
Positions (direct):
Cd: 0.000 0.000 0.740
Cd: 0.000 0.000 0.260
Sn: 0.500 0.500 0.000
Hg: 0.500 0.500 0.500

* formation energy: 0.060 eV per atom
* E above lowest polymorph: 25 meV per atom
* VASP energy: -1.473 eV per atom
* crystal system: tetragonal
* symmetry: P4/mmm
* DOS at the Fermi energy: 0.36 states/eV per atom

=====

3.
This record from Alexandria describes a geometry-optimized Cd2SnHg structure. The functional is PBE.

a b c (Å): 3.407 3.407 10.075
angles (deg): 80.27 80.27 60.00
Positions (direct):
Hg: 0.500 0.500 0.500
Cd: 0.754 0.754 0.738
Cd: 0.246 0.246 0.262
Sn: 0.000 0.000 0.000

* formation energy: 0.048 eV per atom
* E above lowest polymorph: 12 meV per atom
* VASP energy: -1.486 eV per atom
* crystal system: trigonal
* symmetry: R-3m
* DOS at the Fermi energy: 0.44 states/eV per atom

=====

4.
This record from Alexandria describes a geometry-optimized Cd12SnHg6 structure. The functional is PBE.

a b c (Å): 7.792 7.792 7.791
angles (deg): 85.81 85.81 85.81
Positions (direct):
Hg: 0.910 0.243 0.666
Hg: 0.666 0.910 0.243
Hg: 0.243 0.666 0.910
Hg: 0.090 0.757 0.334
Hg: 0.757 0.334 0.090
Hg: 0.334 0.090 0.757
Cd: 0.424 0.778 0.552
Cd: 0.222 0.448 0.576
Cd: 0.448 0.576 0.222
Cd: 0.188 0.091 0.408
Cd: 0.812 0.909 0.592
Cd: 0.091 0.408 0.188
Cd: 0.909 0.592 0.812
Cd: 0.408 0.188 0.091
Cd: 0.592 0.812 0.909
Cd: 0.778 0.552 0.424
Cd: 0.576 0.222 0.448
Cd: 0.552 0.424 0.778
Sn: 0.000 0.000 0.000

* formation energy: 0.042 eV per atom
* VASP energy: -0.842 eV per atom
* crystal system: trigonal
* symmetry: R-3
* DOS at the Fermi energy: 0.28 states/eV per atom

=====

5.
This record from Alexandria describes a geometry-optimized Cd4SnHg2 structure. The functional is PBE.

a b c (Å): 4.108 4.108 11.036
angles (deg): 100.73 100.73 90.00
Positions (direct):
Cd: 0.250 0.750 0.500
Cd: 0.750 0.250 0.500
Cd: 0.858 0.858 0.717
Cd: 0.142 0.142 0.283
Sn: 0.000 0.000 0.000
Hg: 0.583 0.583 0.165
Hg: 0.417 0.417 0.835

* formation energy: 0.090 eV per atom
* E above lowest polymorph: 23 meV per atom
* VASP energy: -1.091 eV per atom
* crystal system: tetragonal
* symmetry: I4/mmm
* DOS at the Fermi energy: 0.38 states/eV per atom

=====

6.
This record from Alexandria describes a geometry-optimized Cd12SnHg3 structure. The functional is PBE.

a b c (Å): 4.563 4.563 17.917
angles (deg): 90.00 90.00 90.00
Positions (direct):
Cd: 0.500 0.500 0.000
Cd: 0.000 0.500 0.377
Cd: 0.500 0.000 0.377
Cd: 0.500 0.500 0.500
Cd: 0.000 0.500 0.623
Cd: 0.000 0.500 0.871
Cd: 0.000 0.500 0.129
Cd: 0.500 0.500 0.747
Cd: 0.500 0.000 0.129
Cd: 0.500 0.500 0.253
Cd: 0.500 0.000 0.871
Cd: 0.500 0.000 0.623
Hg: 0.000 0.000 0.500
Hg: 0.000 0.000 0.252
Hg: 0.000 0.000 0.748
Sn: 0.000 0.000 0.000

* formation energy: 0.029 eV per atom
* VASP energy: -0.964 eV per atom
* crystal system: tetragonal
* symmetry: P4/mmm
* DOS at the Fermi energy: 0.47 states/eV per atom